This record from OQMD describes an optimized crystal structure of Lu4SbPN2. The functional is PBE-GGA.

Computed properties:
The total energy comes out at -55.2 eV per cell. The volume comes out at 144.8 Å³/f.u. As for the size of the total moment: 0.00 μB per atom.

Cell lengths 3.562, 3.562, 13.179 Å; angles 90.00, 90.00, 120.00 degrees
Atoms (fractional coordinates):
Lu 0.667 0.333 0.131
Lu 0.333 0.667 0.326
Lu 0.333 0.667 0.674
Lu 0.667 0.333 0.869
N 0.000 0.000 0.237
N 0.000 0.000 0.763
P 0.333 0.667 0.000
Sb 0.667 0.333 0.500